Entry 1:
Computed, not measured: a geometry-optimized Ho3MoO6 structure at the PBE+U level of DFT.

Cell lengths 6.6092, 6.6092, 6.6092 Å; angles 92.09, 92.09, 92.09 degrees
Each line ends with the local moment (μB).
Sites, in units of the cell vectors:
Ho (0.0686, 0.2530, 0.5600)  0.01
Ho (0.7470, 0.4400, 0.9314)  0.01
Ho (0.5600, 0.0686, 0.2530)  0.01
Ho (0.2530, 0.5600, 0.0686)  0.01
Ho (0.4400, 0.9314, 0.7470)  0.01
Ho (0.9314, 0.7470, 0.4400)  0.01
O (0.5972, 0.8116, 0.4668)  0.02
O (0.1884, 0.5332, 0.4028)  0.02
O (0.9085, 0.0701, 0.3109)  0.02
O (0.8116, 0.4668, 0.5972)  0.02
O (0.3109, 0.9085, 0.0701)  0.02
O (0.0915, 0.9299, 0.6891)  0.02
O (0.6891, 0.0915, 0.9299)  0.02
O (0.5332, 0.4028, 0.1884)  0.02
O (0.4668, 0.5972, 0.8116)  0.02
O (0.0701, 0.3109, 0.9085)  0.02
O (0.4028, 0.1884, 0.5332)  0.02
O (0.9299, 0.6891, 0.0915)  0.02
Mo (0.0000, 0.0000, 0.0000)  2.72
Mo (0.5000, 0.5000, 0.5000)  2.66

Results
**SG**: R-3, No. 148
**Calculated total energy**: -164.0 eV per cell

Entry 2:
Computed, not measured: a geometry-optimized HoCrO4 structure at the PBE+U level of DFT.

Cell lengths 6.6862, 6.6862, 6.6862 Å; angles 135.72, 135.72, 64.41 degrees
Each line ends with the local moment (μB).
Sites, in units of the cell vectors:
O (0.9318, 0.8181, 0.5945)  -0.04
O (0.5264, 0.9126, 0.0945)  -0.04
O (0.6626, 0.0682, 0.8863)  -0.04
O (0.2236, 0.3374, 0.4055)  -0.04
O (0.0874, 0.1818, 0.6137)  -0.04
O (0.1819, 0.7764, 0.1137)  -0.04
O (0.8182, 0.4319, 0.9055)  -0.04
O (0.5681, 0.4736, 0.3863)  -0.04
Ho (0.5000, 0.5000, 0.0000)  0.03
Ho (0.2500, 0.7500, 0.5000)  0.03
Cr (0.7500, 0.2500, 0.5000)  1.12
Cr (0.0000, 0.0000, 0.0000)  1.12

Results
**SG**: I4_1/a, No. 88
**Calculated total energy**: -91.6 eV per cell